1.
Here is a geometry-optimized MgTi5O10 structure from Alexandria via LeMat-Bulk. Energies are from PBE-GGA.

Geometry as POSCAR:
```
MgTi5O10
1.0
5.266 0.000 0.000
0.000 10.093 0.000
-2.536 0.000 7.097
Mg Ti O
2 10 20
Direct
0.039 0.250 0.153
0.961 0.750 0.847
0.048 0.062 0.821
0.048 0.438 0.821
0.454 0.564 0.683
0.454 0.936 0.683
0.456 0.750 0.346
0.544 0.250 0.654
0.546 0.064 0.317
0.546 0.436 0.317
0.952 0.562 0.179
0.952 0.938 0.179
0.096 0.750 0.144
0.184 0.612 0.772
0.184 0.888 0.772
0.218 0.068 0.095
0.218 0.432 0.095
0.284 0.569 0.405
0.284 0.931 0.405
0.325 0.119 0.726
0.325 0.381 0.726
0.417 0.250 0.372
0.583 0.750 0.628
0.675 0.619 0.274
0.675 0.881 0.274
0.716 0.069 0.595
0.716 0.431 0.595
0.782 0.568 0.905
0.782 0.932 0.905
0.816 0.112 0.228
0.816 0.388 0.228
0.904 0.250 0.856
```

final energy: -276.377 eV per cell

2.
Here is a geometry-optimized Mg3TiO4 structure from Alexandria via LeMat-Bulk. Energies are from PBE-GGA.

Geometry as POSCAR:
```
Mg3TiO4
1.0
4.315 0.000 0.000
0.000 4.315 0.000
0.000 0.000 4.315
Mg Ti O
3 1 4
Direct
0.000 0.000 0.500
0.000 0.500 0.000
0.500 0.000 0.000
0.500 0.500 0.500
0.000 0.000 0.000
0.000 0.500 0.500
0.500 0.000 0.500
0.500 0.500 0.000
```

final energy: -52.244 eV per cell

3.
Here is a geometry-optimized MgTi11O20 structure from Alexandria via LeMat-Bulk. Energies are from PBE-GGA.

Geometry as POSCAR:
```
MgTi11O20
1.0
3.804 -10.060 0.000
3.804 10.060 0.000
-1.899 0.000 4.935
Mg Ti O
1 11 20
Direct
0.000 0.000 0.000
0.053 0.551 0.220
0.123 0.811 0.878
0.236 0.427 0.342
0.312 0.620 0.874
0.427 0.236 0.342
0.497 0.497 0.008
0.551 0.053 0.220
0.620 0.312 0.874
0.741 0.927 0.341
0.811 0.123 0.878
0.927 0.741 0.341
0.059 0.690 0.512
0.082 0.403 0.974
0.148 0.964 0.233
0.191 0.564 0.512
0.266 0.768 0.079
0.295 0.295 0.157
0.360 0.488 0.712
0.403 0.082 0.974
0.465 0.649 0.239
0.488 0.360 0.712
0.564 0.191 0.512
0.582 0.903 0.985
0.649 0.465 0.239
0.690 0.059 0.512
0.768 0.266 0.079
0.779 0.779 0.157
0.854 0.992 0.700
0.903 0.582 0.985
0.964 0.148 0.233
0.992 0.854 0.700
```

final energy: -282.115 eV per cell

4.
Here is a geometry-optimized MgTi11O20 structure from Alexandria via LeMat-Bulk. Energies are from PBE-GGA.

Geometry as POSCAR:
```
MgTi11O20
1.0
7.530 0.000 0.000
0.000 10.074 0.000
-3.660 0.000 9.952
Mg Ti O
2 22 40
Direct
0.151 0.250 0.273
0.849 0.750 0.727
0.151 0.250 0.771
0.183 0.559 0.225
0.183 0.560 0.723
0.183 0.940 0.723
0.183 0.941 0.225
0.314 0.060 0.525
0.314 0.440 0.525
0.316 0.060 0.027
0.316 0.440 0.027
0.345 0.750 0.974
0.352 0.750 0.479
0.648 0.250 0.521
0.655 0.250 0.026
0.684 0.560 0.973
0.684 0.940 0.973
0.686 0.560 0.475
0.686 0.940 0.475
0.817 0.059 0.775
0.817 0.060 0.277
0.817 0.440 0.277
0.817 0.441 0.775
0.849 0.750 0.229
0.092 0.065 0.360
0.092 0.435 0.360
0.094 0.071 0.863
0.094 0.429 0.863
0.135 0.750 0.301
0.144 0.750 0.799
0.224 0.122 0.662
0.224 0.378 0.662
0.227 0.115 0.160
0.227 0.385 0.160
0.272 0.621 0.086
0.272 0.879 0.086
0.278 0.622 0.587
0.278 0.878 0.587
0.368 0.250 0.952
0.371 0.250 0.457
0.408 0.567 0.889
0.408 0.568 0.388
0.408 0.932 0.388
0.408 0.933 0.889
0.592 0.067 0.111
0.592 0.068 0.612
0.592 0.432 0.612
0.592 0.433 0.111
0.629 0.750 0.543
0.632 0.750 0.048
0.722 0.122 0.413
0.722 0.378 0.413
0.728 0.121 0.914
0.728 0.379 0.914
0.773 0.615 0.840
0.773 0.885 0.840
0.776 0.622 0.338
0.776 0.878 0.338
0.856 0.250 0.201
0.865 0.250 0.699
0.906 0.571 0.137
0.906 0.929 0.137
0.908 0.565 0.640
0.908 0.935 0.640
```

final energy: -564.070 eV per cell

Copy entry 1 word for word.
Here is a geometry-optimized MgTi5O10 structure from Alexandria via LeMat-Bulk. Energies are from PBE-GGA.

Geometry as POSCAR:
```
MgTi5O10
1.0
5.266 0.000 0.000
0.000 10.093 0.000
-2.536 0.000 7.097
Mg Ti O
2 10 20
Direct
0.039 0.250 0.153
0.961 0.750 0.847
0.048 0.062 0.821
0.048 0.438 0.821
0.454 0.564 0.683
0.454 0.936 0.683
0.456 0.750 0.346
0.544 0.250 0.654
0.546 0.064 0.317
0.546 0.436 0.317
0.952 0.562 0.179
0.952 0.938 0.179
0.096 0.750 0.144
0.184 0.612 0.772
0.184 0.888 0.772
0.218 0.068 0.095
0.218 0.432 0.095
0.284 0.569 0.405
0.284 0.931 0.405
0.325 0.119 0.726
0.325 0.381 0.726
0.417 0.250 0.372
0.583 0.750 0.628
0.675 0.619 0.274
0.675 0.881 0.274
0.716 0.069 0.595
0.716 0.431 0.595
0.782 0.568 0.905
0.782 0.932 0.905
0.816 0.112 0.228
0.816 0.388 0.228
0.904 0.250 0.856
```

final energy: -276.377 eV per cell

> Look up the final energy of the first one.

-276.377 eV per cell

> The highest final energy belongs to which entry?

Mg3TiO4